## ReNi6Rh (GGA-PBE)

Data for an optimized crystal structure of ReNi6Rh.

Structure (POSCAR):
```
ReNi6Rh
1.0
3.596 0.000 0.000
0.000 5.102 -0.469
0.000 0.424 5.106
Rh Ni Re
1 6 1
direct
0.000 0.126 0.874
0.500 0.380 0.133
0.500 0.869 0.131
0.000 0.625 0.375
0.000 0.628 0.873
0.000 0.127 0.372
0.500 0.867 0.620
0.500 0.379 0.621
```

Summary:
**Energy of formation**: 0.00 eV/atom
**VASP energy**: -6.81 eV/atom
**V**: 94 Å³/cell
**Magnetic moment**: 0.064 μB per atom
**Offset from the most stable computed form**: 0.000 eV/atom
**SG**: No. 38